# 1
# PBE BaBeN2, relaxed
# * Fermi-level density of states: 0.034 states/eV/atom
# * theoretical density: 3209 kg/m³
# * uncorrected formation energy: 153 meV/atom
data_BaBeN2
_chemical_formula_sum 'Ba3 Be3 N6'
_space_group_name_H-M_alt 'R -3 m'
_space_group_IT_number 166
_space_group_name_Hall '-R 3 2"'
_cell_length_a 4.2803
_cell_length_b 4.2803
_cell_length_c 17.0593
_cell_angle_alpha 90.00
_cell_angle_beta 90.00
_cell_angle_gamma 120.00
loop_
_atom_site_label
_atom_site_type_symbol
_atom_site_fract_x
_atom_site_fract_y
_atom_site_fract_z
Ba1 Ba 0.0000 0.0000 0.0000
Be1 Be 0.0000 0.0000 0.5000
N1 N 0.0000 0.0000 0.4108

=====

# 2
# PBE Ba3BeN, relaxed
# * Fermi-level density of states: 1.354 states/eV/atom
# * theoretical density: 4170 kg/m³
# * ΔE to the lowest computed polymorph: 0.0000 eV per atom
# * uncorrected formation energy: 164 meV/atom
data_Ba3BeN
_chemical_formula_sum 'Ba3 Be1 N1'
_space_group_name_H-M_alt 'P m -3 m'
_space_group_IT_number 221
_space_group_name_Hall '-P 4 2 3'
_cell_length_a 5.5742
_cell_length_b 5.5742
_cell_length_c 5.5742
_cell_angle_alpha 90.00
_cell_angle_beta 90.00
_cell_angle_gamma 90.00
loop_
_atom_site_label
_atom_site_type_symbol
_atom_site_fract_x
_atom_site_fract_y
_atom_site_fract_z
Ba1 Ba 0.0000 0.0000 0.5000
Be1 Be 0.5000 0.5000 0.5000
N1 N 0.0000 0.0000 0.0000

=====

# 3
# PBE BaBeN2, relaxed
# * Fermi-level density of states: 0.293 states/eV/atom
# * theoretical density: 5335 kg/m³
# * uncorrected formation energy: -258 meV/atom
data_BaBeN2
_chemical_formula_sum 'Ba4 Be4 N8'
_space_group_name_H-M_alt 'I 41/a m d'
_space_group_IT_number 141
_cell_length_a 4.5142
_cell_length_b 4.5142
_cell_length_c 10.6528
_cell_angle_alpha 90.00
_cell_angle_beta 90.00
_cell_angle_gamma 90.00
loop_
_space_group_symop_operation_xyz
'x,y,z'
'-x,-y,-z'
'-y+1/4,x+3/4,z+1/4'
'y+1/4,-x+3/4,-z+1/4'
'-x+1/2,-y,z+1/2'
'x+1/2,y,-z+1/2'
'y+1/4,-x+1/4,z+3/4'
'-y+1/4,x+1/4,-z+3/4'
'x,-y,-z'
'-x,y,z'
'-y+1/4,-x+1/4,-z+3/4'
'y+1/4,x+1/4,z+3/4'
'-x+1/2,y,-z+1/2'
'x+1/2,-y,z+1/2'
'y+1/4,x+3/4,-z+1/4'
'-y+1/4,-x+3/4,z+1/4'
'x+1/2,y+1/2,z+1/2'
'-x+1/2,-y+1/2,-z+1/2'
'-y+3/4,x+1/4,z+3/4'
'y+3/4,-x+1/4,-z+3/4'
'-x,-y+1/2,z'
'x,y+1/2,-z'
'y+3/4,-x+3/4,z+1/4'
'-y+3/4,x+3/4,-z+1/4'
'x+1/2,-y+1/2,-z+1/2'
'-x+1/2,y+1/2,z+1/2'
'-y+3/4,-x+3/4,-z+1/4'
'y+3/4,x+3/4,z+1/4'
'-x,y+1/2,-z'
'x,-y+1/2,z'
'y+3/4,x+1/4,-z+3/4'
'-y+3/4,-x+1/4,z+3/4'
loop_
_atom_site_label
_atom_site_type_symbol
_atom_site_fract_x
_atom_site_fract_y
_atom_site_fract_z
Ba1 Ba 0.0000 0.2500 0.3750
Be1 Be 0.0000 0.2500 0.8750
N1 N 0.0000 0.0000 0.0000

=====

# 4
# PBE BaBeN2, relaxed
# * Fermi-level density of states: 0.913 states/eV/atom
# * theoretical density: 5047 kg/m³
# * uncorrected formation energy: 1138 meV/atom
data_BaBeN2
_chemical_formula_sum 'Ba3 Be3 N6'
_space_group_name_H-M_alt 'R -3 m'
_space_group_IT_number 166
_space_group_name_Hall '-R 3 2"'
_cell_length_a 3.2292
_cell_length_b 3.2292
_cell_length_c 19.0588
_cell_angle_alpha 90.00
_cell_angle_beta 90.00
_cell_angle_gamma 120.00
loop_
_atom_site_label
_atom_site_type_symbol
_atom_site_fract_x
_atom_site_fract_y
_atom_site_fract_z
Ba1 Ba 0.0000 0.0000 0.0000
Be1 Be 0.0000 0.0000 0.5000
N1 N 0.0000 0.0000 0.1273

=====

# 5
# PBE Ba2NaBeN, relaxed
# * Fermi-level density of states: 0.915 states/eV/atom
# * theoretical density: 4044 kg/m³
# * uncorrected formation energy: -30 meV/atom
data_Ba2NaBeN
_chemical_formula_sum 'Ba2 Na1 Be1 N1'
_space_group_name_H-M_alt 'P 4/m m m'
_space_group_IT_number 123
_space_group_name_Hall '-P 4 2'
_cell_length_a 6.2493
_cell_length_b 6.2493
_cell_length_c 3.3718
_cell_angle_alpha 90.00
_cell_angle_beta 90.00
_cell_angle_gamma 90.00
loop_
_atom_site_label
_atom_site_type_symbol
_atom_site_fract_x
_atom_site_fract_y
_atom_site_fract_z
Ba1 Ba 0.0000 0.5000 0.0000
Na1 Na 0.0000 0.0000 0.5000
Be1 Be 0.5000 0.5000 0.5000
N1 N 0.5000 0.5000 0.0000

=====

# 6
# PBE Ba2BeNiN, relaxed
# * Fermi-level density of states: 0.569 states/eV/atom
# * theoretical density: 4566 kg/m³
# * uncorrected formation energy: 711 meV/atom
data_Ba2BeNiN
_chemical_formula_sum 'Ba2 Be1 Ni1 N1'
_space_group_name_H-M_alt 'P 4/m m m'
_space_group_IT_number 123
_space_group_name_Hall '-P 4 2'
_cell_length_a 5.7411
_cell_length_b 5.7411
_cell_length_c 3.9316
_cell_angle_alpha 90.00
_cell_angle_beta 90.00
_cell_angle_gamma 90.00
loop_
_atom_site_label
_atom_site_type_symbol
_atom_site_fract_x
_atom_site_fract_y
_atom_site_fract_z
Ba1 Ba 0.0000 0.5000 0.0000
Be1 Be 0.0000 0.0000 0.0000
Ni1 Ni 0.0000 0.0000 0.5000
N1 N 0.5000 0.5000 0.5000

=====

# 7
# PBE BaNpBeN3, relaxed
# * Fermi-level density of states: 0.911 states/eV/atom
# * theoretical density: 7557 kg/m³
# * uncorrected formation energy: -991 meV/atom
data_BaNpBeN3
_chemical_formula_sum 'Ba2 Np2 Be2 N6'
_space_group_name_H-M_alt 'P 1 21/m 1'
_space_group_IT_number 11
_space_group_name_Hall '-P 2yb'
_cell_length_a 7.4555
_cell_length_b 3.4678
_cell_length_c 7.5914
_cell_angle_alpha 90.00
_cell_angle_beta 107.75
_cell_angle_gamma 90.00
loop_
_atom_site_label
_atom_site_type_symbol
_atom_site_fract_x
_atom_site_fract_y
_atom_site_fract_z
Ba1 Ba 0.2469 0.2500 0.2033
Np1 Np 0.1655 0.2500 0.6757
Be1 Be 0.3980 0.7500 0.9317
N1 N 0.1423 0.7500 0.4724
N2 N 0.1575 0.7500 0.8640
N3 N 0.4620 0.2500 0.8462

=====

# 8
# PBE BaBe2NO, relaxed
# * Fermi-level density of states: 0.430 states/eV/atom
# * theoretical density: 3600 kg/m³
# * uncorrected formation energy: -776 meV/atom
data_BaBe2NO
_chemical_formula_sum 'Ba1 Be2 N1 O1'
_space_group_name_H-M_alt 'P 4/m m m'
_space_group_IT_number 123
_space_group_name_Hall '-P 4 2'
_cell_length_a 3.4942
_cell_length_b 3.4942
_cell_length_c 7.0028
_cell_angle_alpha 90.00
_cell_angle_beta 90.00
_cell_angle_gamma 90.00
loop_
_atom_site_label
_atom_site_type_symbol
_atom_site_fract_x
_atom_site_fract_y
_atom_site_fract_z
Ba1 Ba 0.0000 0.0000 0.0000
Be1 Be 0.0000 0.5000 0.5000
N1 N 0.0000 0.0000 0.5000
O1 O 0.5000 0.5000 0.0000